The following is a PBE calculation of a geometry-optimized NbBiOs3 structure, from Alexandria.

POSCAR file:
```
NbBiOs3
1.0
4.8508 0.0000 0.0000
0.0000 4.8508 0.0000
0.0000 0.0000 4.8508
Os Bi Nb
3 1 1
direct
0.0000 0.0000 0.5000
0.0000 0.5000 0.0000
0.5000 0.0000 0.0000
0.0000 0.0000 0.0000
0.5000 0.5000 0.5000
```

Values from the calculation:
DFT formation energy = 2932 meV/atom
total magnetic moment = 0.00 μB/f.u.
polymorph energy (0 for the lowest one) = 973 meV per atom
space group = Pm-3m



The following is a PBE calculation of a geometry-optimized Nb2Bi2Os structure, from Alexandria.

POSCAR file:
```
Nb2Bi2Os
1.0
6.8219 0.0000 0.0000
0.0000 6.8219 0.0000
0.0000 0.0000 4.7822
Os Bi Nb
2 4 4
direct
0.0000 0.0000 0.0000
0.5000 0.5000 0.0000
0.6766 0.8234 0.5000
0.1766 0.6766 0.5000
0.3234 0.1766 0.5000
0.8234 0.3234 0.5000
0.3557 0.8557 0.0000
0.1443 0.3557 0.0000
0.8557 0.6443 0.0000
0.6443 0.1443 0.0000
```

Values from the calculation:
DFT formation energy = 582 meV/atom
total magnetic moment = 0.00 μB/f.u.
polymorph energy (0 for the lowest one) = 0 meV per atom
space group = P4/mbm



The following is a PBE calculation of a geometry-optimized NbBiOs3 structure, from Alexandria.

POSCAR file:
```
NbBiOs3
1.0
4.8082 0.0000 0.0000
0.0000 4.8082 0.0000
0.0000 0.0000 4.8082
Os Bi Nb
3 1 1
direct
0.5000 0.0000 0.0000
0.0000 0.0000 0.5000
0.0000 0.5000 0.0000
0.5000 0.5000 0.5000
0.0000 0.0000 0.0000
```

Values from the calculation:
DFT formation energy = 1959 meV/atom
total magnetic moment = 0.00 μB/f.u.
polymorph energy (0 for the lowest one) = 0 meV per atom
space group = Pm-3m



The following is a PBE calculation of a geometry-optimized Nb2BiOsRh structure, from Alexandria.

POSCAR file:
```
Nb2BiOsRh
1.0
-0.8036 0.5063 -5.0238
1.7286 -4.3557 -0.7155
-4.6925 -1.9532 0.5538
Nb Rh Bi Os
2 1 1 1
direct
0.0000 0.0000 0.5000
0.5000 0.0000 0.0000
0.0000 0.5000 0.0000
0.0000 0.0000 0.0000
0.5000 0.5000 0.5000
```

Values from the calculation:
DFT formation energy = 2312 meV/atom
total magnetic moment = 0.94 μB/f.u.
space group = P4/mmm



The following is a PBE calculation of a geometry-optimized NbBiP2 structure, from Alexandria.

POSCAR file:
```
NbBiP2
1.0
-3.2447 -4.3882 -2.6393
-2.5673 -1.3094 5.3333
-7.2287 1.0267 0.2177
Nb P Bi
2 4 2
direct
0.5000 0.5000 0.0000
0.2500 0.7500 0.5000
0.8750 0.8187 0.7500
0.3750 0.4313 0.7500
0.5687 0.1250 0.2500
0.1813 0.6250 0.2500
0.7500 0.2500 0.5000
0.0000 0.0000 0.0000
```

Values from the calculation:
DFT formation energy = 154 meV/atom
total magnetic moment = 0.77 μB/f.u.
space group = I-42d



The following is a PBE calculation of a geometry-optimized ScNb2BiP structure, from Alexandria.

POSCAR file:
```
ScNb2BiP
1.0
5.0318 0.0000 0.0000
0.0000 4.6498 0.0000
0.0000 0.0000 5.0318
Nb P Bi Sc
2 1 1 1
direct
0.5000 0.0000 0.0000
0.0000 0.0000 0.5000
0.0000 0.5000 0.0000
0.5000 0.5000 0.5000
0.0000 0.0000 0.0000
```

Values from the calculation:
DFT formation energy = 1133 meV/atom
total magnetic moment = 0.85 μB/f.u.
space group = P4/mmm



Let's list E_tot in order: -6.596; -7.244; -7.569; -6.208; -6.039; -6.019 eV/atom.